[1]
CdSiTe2Br: optimized geometry, PBE-GGA.

Output
formation energy without anion corrections	287	kJ/mol of formula units
total magnetization	0.000	μB/atom
symmetry	P4/mmm, No. 123

a b c (Å): 5.627 5.257 5.627
angles (deg): 90.00 90.00 90.00
Fractional coordinates of all 5 atoms:
Si: 0.500 0.500 0.500
Te: 0.500 0.000 0.000
Te: 0.000 0.000 0.500
Br: 0.000 0.500 0.000
Cd: 0.000 0.000 0.000

***

[2]
SmCdBr: optimized geometry, PBE-GGA.

Output
formation energy without anion corrections	-156	kJ/mol of formula units
total magnetization	0.272	μB/atom
symmetry	Cmcm, No. 63

a b c (Å): 3.955 6.266 9.762
angles (deg): 71.28 90.00 90.00
Each line ends with the local moment (μB).
Fractional coordinates of all 6 atoms:
Cd: 0.750 0.945 0.111  0.01
Cd: 0.250 0.055 0.889  0.01
Br: 0.250 0.302 0.397  0.02
Br: 0.750 0.698 0.603  0.02
Sm: 0.250 0.588 0.825  0.32
Sm: 0.750 0.412 0.175  0.32